(1)
# PBE Y2BeCr, optimized geometry
data_Y2BeCr
_chemical_formula_sum 'Y2 Be1 Cr1'
_space_group_name_H-M_alt 'P 1'
_space_group_IT_number 1
_cell_length_a 8.889
_cell_length_b 8.889
_cell_length_c 8.889
_cell_angle_alpha 22.77
_cell_angle_beta 22.77
_cell_angle_gamma 22.77
loop_
_space_group_symop_operation_xyz
'x,y,z'
loop_
_atom_site_label
_atom_site_type_symbol
_atom_site_fract_x
_atom_site_fract_y
_atom_site_fract_z
Y1 Y 0.995 0.995 0.995
Y2 Y 0.505 0.505 0.505
Cr1 Cr 0.750 0.750 0.750
Be1 Be 0.250 0.250 0.250
# **Density of states at the Fermi level**: 1.06 states/eV/atom
# **DFT formation energy**: 0.549 eV per atom

***

(2)
# PBE CeMgTeO6, optimized geometry
data_CeMgTeO6
_chemical_formula_sum 'Ce2 Mg2 Te2 O12'
_space_group_name_H-M_alt 'P 1'
_space_group_IT_number 1
_cell_length_a 5.254
_cell_length_b 5.254
_cell_length_c 9.772
_cell_angle_alpha 90.00
_cell_angle_beta 90.00
_cell_angle_gamma 120.00
loop_
_space_group_symop_operation_xyz
'x,y,z'
loop_
_atom_site_label
_atom_site_type_symbol
_atom_site_fract_x
_atom_site_fract_y
_atom_site_fract_z
Mg1 Mg 0.667 0.333 0.750
Mg2 Mg 0.333 0.667 0.250
Te1 Te 0.667 0.333 0.250
Te2 Te 0.333 0.667 0.750
O1 O 0.343 0.364 0.862
O2 O 0.636 0.979 0.862
O3 O 0.021 0.657 0.862
O4 O 0.343 0.979 0.638
O5 O 0.021 0.364 0.638
O6 O 0.979 0.343 0.138
O7 O 0.657 0.636 0.138
O8 O 0.364 0.343 0.362
O9 O 0.636 0.657 0.638
O10 O 0.364 0.021 0.138
O11 O 0.657 0.021 0.362
O12 O 0.979 0.636 0.362
Ce1 Ce 0.000 0.000 0.500
Ce2 Ce 0.000 0.000 0.000
# **DFT total energy**: -6.70 eV/atom

***

(3)
# PBE RbNa2ReF8, optimized geometry
data_RbNa2ReF8
_chemical_formula_sum 'Rb1 Na2 Re1 F8'
_space_group_name_H-M_alt 'P 1'
_space_group_IT_number 1
_cell_length_a 4.884
_cell_length_b 5.564
_cell_length_c 8.037
_cell_angle_alpha 86.72
_cell_angle_beta 87.86
_cell_angle_gamma 83.86
loop_
_space_group_symop_operation_xyz
'x,y,z'
loop_
_atom_site_label
_atom_site_type_symbol
_atom_site_fract_x
_atom_site_fract_y
_atom_site_fract_z
F1 F 0.185 0.807 0.179
F2 F 0.392 0.281 0.485
F3 F 0.718 0.788 0.029
F4 F 0.608 0.719 0.515
F5 F 0.820 0.214 0.160
F6 F 0.815 0.193 0.821
F7 F 0.282 0.212 0.971
F8 F 0.180 0.786 0.840
Re1 Re 0.000 0.000 0.000
Rb1 Rb 0.000 0.000 0.500
Na1 Na 0.465 0.469 0.706
Na2 Na 0.535 0.531 0.294
# **Density of states at the Fermi level**: 1.01 states/eV/atom
# **DFT total energy**: -4.98 eV/atom

***

(4)
# PBE K8RuO6, optimized geometry
data_K8RuO6
_chemical_formula_sum 'K16 Ru2 O12'
_space_group_name_H-M_alt 'P 1'
_space_group_IT_number 1
_cell_length_a 7.243
_cell_length_b 7.453
_cell_length_c 12.072
_cell_angle_alpha 90.00
_cell_angle_beta 90.00
_cell_angle_gamma 90.00
loop_
_space_group_symop_operation_xyz
'x,y,z'
loop_
_atom_site_label
_atom_site_type_symbol
_atom_site_fract_x
_atom_site_fract_y
_atom_site_fract_z
O1 O 0.935 0.500 0.946
O2 O 0.768 0.790 0.595
O3 O 0.768 0.210 0.595
O4 O 0.722 0.000 0.932
O5 O 0.232 0.290 0.095
O6 O 0.735 0.500 0.227
O7 O 0.298 0.500 0.867
O8 O 0.265 0.000 0.727
O9 O 0.065 0.000 0.446
O10 O 0.232 0.710 0.095
O11 O 0.278 0.500 0.432
O12 O 0.702 0.000 0.367
K1 K 0.011 0.288 0.319
K2 K 0.633 0.500 0.491
K3 K 0.474 0.725 0.276
K4 K 0.011 0.712 0.319
K5 K 0.868 0.223 0.084
K6 K 0.989 0.212 0.819
K7 K 0.593 0.500 0.013
K8 K 0.132 0.723 0.584
K9 K 0.526 0.225 0.776
K10 K 0.474 0.275 0.276
K11 K 0.407 0.000 0.513
K12 K 0.868 0.777 0.084
K13 K 0.132 0.277 0.584
K14 K 0.367 0.000 0.991
K15 K 0.526 0.775 0.776
K16 K 0.989 0.788 0.819
Ru1 Ru 0.184 0.500 0.013
Ru2 Ru 0.816 0.000 0.513
# **Density of states at the Fermi level**: 0.21 states/eV/atom
# **DFT total energy**: -4.23 eV/atom

***

In order of appearance, density = 4.296, 5.516, 3.598, 2.599 g/cm³.